Compound: NbAgO3
Source: Alexandria via LeMat-Bulk
Functional: PBE
Structure: optimized geometry

Values from the calculation:
E_form (uncorrected): -1728 meV/atom
Total energy: -7.288 eV/atom

```
data_NbAgO3
_space_group_name_H-M_alt 'P m -3 m'
_space_group_IT_number 221
_space_group_name_Hall '-P 4 2 3'
_cell_length_a 3.992
_cell_length_b 3.992
_cell_length_c 3.992
_cell_angle_alpha 90.00
_cell_angle_beta 90.00
_cell_angle_gamma 90.00
loop_
_atom_site_label
_atom_site_type_symbol
_atom_site_fract_x
_atom_site_fract_y
_atom_site_fract_z
Nb1 Nb 0.000 0.000 0.000
Ag1 Ag 0.500 0.500 0.500
O1 O 0.000 0.000 0.500
```